[1]
Ce2ScZn: optimized geometry, PBE.

Cell lengths 3.7670, 3.7670, 7.2127 Å; angles 90.00, 90.00, 90.00 degrees
Space group P4/mmm (No. 123)
One atom of each set of equivalent atoms:
Ce: 0.0000 0.0000 0.2134 [2 per cell]
Sc: 0.5000 0.5000 0.5000 [1 per cell]
Zn: 0.5000 0.5000 0.0000 [1 per cell]

Summary:
energy relative to the elements: 0.001 eV per atom
ΔE to the lowest computed polymorph: 0.0 meV/atom
N(E_F): 2.780 states/eV/atom



[2]
Re3C: optimized geometry, PBE.

Cell lengths 4.8084, 8.0036, 2.8392 Å; angles 90.00, 90.00, 90.00 degrees
Space group Cmmm (No. 65)
One atom of each set of equivalent atoms:
Re: 0.0000 0.0000 0.0000 [2 per cell]
Re: 0.2500 0.2500 0.5000 [4 per cell]
C: 0.0000 0.5000 0.0000 [2 per cell]

Summary:
energy relative to the elements: 1.365 eV per atom
ΔE to the lowest computed polymorph: 1382.3 meV/atom
N(E_F): 0.796 states/eV/atom



[3]
Rb3La3NbSe8: optimized geometry, PBE.

Cell lengths 14.9063, 8.6077, 9.5528 Å; angles 90.00, 121.42, 90.00 degrees
Space group C2/m (No. 12)
One atom of each set of equivalent atoms:
Rb: 0.0000 0.0000 0.0000 [2 per cell]
Rb: 0.2500 0.2500 0.0000 [4 per cell]
La: 0.0000 0.5000 0.5000 [2 per cell]
La: 0.2500 0.2500 0.5000 [4 per cell]
Nb: 0.0000 0.0000 0.5000 [2 per cell]
Se: 0.0126 0.2247 0.3134 [8 per cell]
Se: 0.2122 0.0000 0.6865 [4 per cell]
Se: 0.2352 0.5000 0.7053 [4 per cell]

Summary:
formation energy from raw total energies: -1540.0 meV/atom
N(E_F): 0.400 states/eV/atom



[4]
Mg2TaSb: optimized geometry, PBE.

Cell lengths 10.2628, 2.9992, 5.4722 Å; angles 90.00, 95.86, 90.00 degrees
Space group Cm (No. 8)
One atom of each set of equivalent atoms:
Mg: 0.0000 0.0000 0.0000 [2 per cell]
Mg: 0.2487 0.0000 0.7738 [2 per cell]
Ta: 0.2434 0.5000 0.2656 [2 per cell]
Sb: 0.4862 0.0000 0.4750 [2 per cell]

Summary:
formation energy from raw total energies: 149.7 meV/atom
N(E_F): 0.365 states/eV/atom



[5]
U2Fe12Ge7: optimized geometry, PBE.

Cell lengths 10.0592, 10.0592, 3.3727 Å; angles 90.00, 90.00, 120.00 degrees
Space group P-6 (No. 174)
One atom of each set of equivalent atoms:
U: 0.0000 0.0000 0.0000 [1 per cell]
U: 0.3333 0.6667 0.5000 [1 per cell]
Fe: 0.0428 0.2698 0.5000 [3 per cell]
Fe: 0.1166 0.7152 0.0000 [3 per cell]
Fe: 0.3963 0.1762 0.0000 [3 per cell]
Fe: 0.5385 0.4239 0.5000 [3 per cell]
Ge: 0.0708 0.4558 0.0000 [3 per cell]
Ge: 0.2556 0.2189 0.5000 [3 per cell]
Ge: 0.6667 0.3333 0.0000 [1 per cell]

Summary:
energy relative to the elements: -0.129 eV per atom
N(E_F): 0.890 states/eV/atom



[6]
KCu2GeAs: optimized geometry, PBE.

Cell lengths 4.6026, 4.6026, 6.0750 Å; angles 90.00, 90.00, 90.00 degrees
Space group P4/mmm (No. 123)
One atom of each set of equivalent atoms:
K: 0.0000 0.0000 0.0000 [1 per cell]
Cu: 0.0000 0.5000 0.5000 [2 per cell]
Ge: 0.5000 0.5000 0.0000 [1 per cell]
As: 0.0000 0.0000 0.5000 [1 per cell]

Summary:
energy relative to the elements: 0.585 eV per atom
N(E_F): 0.624 states/eV/atom



[7]
SrEu2Y: optimized geometry, PBE.

Cell lengths 3.8734, 3.8734, 38.4295 Å; angles 90.00, 90.00, 120.00 degrees
Space group R-3m (No. 166, hexagonal axes)
One atom of each set of equivalent atoms:
Sr: 0.0000 0.0000 0.0000 [3 per cell]
Eu: 0.0000 0.0000 0.2441 [6 per cell]
Y: 0.0000 0.0000 0.5000 [3 per cell]

Summary:
energy relative to the elements: 0.089 eV per atom
ΔE to the lowest computed polymorph: 0.1 meV/atom
N(E_F): 1.032 states/eV/atom



[8]
TbHo2: optimized geometry, PBE.

Cell lengths 10.8078, 6.2415, 6.6739 Å; angles 90.00, 122.67, 90.00 degrees
Space group C2/c (No. 15)
One atom of each set of equivalent atoms:
Tb: 0.0000 0.0845 0.2500 [4 per cell]
Ho: 0.1665 0.4166 0.7504 [8 per cell]

Summary:
energy relative to the elements: 0.007 eV per atom
ΔE to the lowest computed polymorph: 0.9 meV/atom
N(E_F): 1.793 states/eV/atom



[9]
TiGeSe2N: optimized geometry, PBE.

Cell lengths 5.1340, 5.1340, 3.7547 Å; angles 90.00, 90.00, 90.00 degrees
Space group P4/mmm (No. 123)
One atom of each set of equivalent atoms:
Ti: 0.0000 0.0000 0.0000 [1 per cell]
Ge: 0.5000 0.5000 0.5000 [1 per cell]
Se: 0.0000 0.5000 0.0000 [2 per cell]
N: 0.0000 0.0000 0.5000 [1 per cell]

Summary:
ΔE to the lowest computed polymorph: 0.0 meV/atom
formation energy from raw total energies: -86.5 meV/atom
N(E_F): 0.628 states/eV/atom



[10]
Li2TcOs: optimized geometry, PBE.

Cell lengths 2.6422, 4.1459, 5.3451 Å; angles 90.00, 100.70, 90.00 degrees
Space group Pm (No. 6)
One atom of each set of equivalent atoms:
Li: 0.0000 0.0000 0.0000 [1 per cell]
Li: 0.2836 0.5000 0.8134 [1 per cell]
Tc: 0.4629 0.0000 0.4823 [1 per cell]
Os: 0.8623 0.5000 0.3173 [1 per cell]

Summary:
energy relative to the elements: 0.164 eV per atom
ΔE to the lowest computed polymorph: 54.2 meV/atom
N(E_F): 0.554 states/eV/atom



[11]
AlAuS2: optimized geometry, PBE.

Cell lengths 4.0591, 4.0591, 19.5834 Å; angles 90.00, 90.00, 120.00 degrees
Space group R3m (No. 160, hexagonal axes)
One atom of each set of equivalent atoms:
Al: 0.0000 0.0000 0.0000 [3 per cell]
Au: 0.0000 0.0000 0.4606 [3 per cell]
S: 0.0000 0.0000 0.1140 [3 per cell]
S: 0.0000 0.0000 0.6272 [3 per cell]

Summary:
formation energy from raw total energies: -437.1 meV/atom
N(E_F): 0.171 states/eV/atom



[12]
Ru2I4F: optimized geometry, PBE.

Cell lengths 5.2879, 5.2879, 17.9210 Å; angles 90.00, 90.00, 90.00 degrees
Space group I4/mmm (No. 139)
One atom of each set of equivalent atoms:
Ru: 0.0000 0.0000 0.0624 [4 per cell]
I: 0.0000 0.0000 0.2066 [4 per cell]
I: 0.0000 0.5000 0.0000 [4 per cell]
F: 0.0000 0.0000 0.5000 [2 per cell]

Summary:
formation energy from raw total energies: 327.6 meV/atom
N(E_F): 0.683 states/eV/atom



[13]
KGaH: optimized geometry, PBE.

Cell lengths 4.7296, 4.7296, 20.5257 Å; angles 90.00, 90.00, 120.00 degrees
Space group R-3m (No. 166, hexagonal axes)
One atom of each set of equivalent atoms:
K: 0.0000 0.0000 0.0985 [6 per cell]
Ga: 0.0000 0.0000 0.3244 [6 per cell]
H: 0.0000 0.0000 0.2387 [6 per cell]

Summary:
ΔE to the lowest computed polymorph: 0.0 meV/atom
N(E_F): 0.085 states/eV/atom



[14]
PaZnNiIr: optimized geometry, PBE.

Cell lengths 6.5156, 6.5156, 6.5156 Å; angles 90.00, 90.00, 90.00 degrees
Space group F-43m (No. 216)
One atom of each set of equivalent atoms:
Pa: 0.0000 0.0000 0.0000 [4 per cell]
Zn: 0.0000 0.0000 0.5000 [4 per cell]
Ni: 0.2500 0.2500 0.7500 [4 per cell]
Ir: 0.2500 0.2500 0.2500 [4 per cell]

Summary:
energy relative to the elements: -0.410 eV per atom
N(E_F): 0.993 states/eV/atom



[15]
TmNiPdAu: optimized geometry, PBE.

Cell lengths 6.5018, 6.5018, 6.5018 Å; angles 90.00, 90.00, 90.00 degrees
Space group F-43m (No. 216)
One atom of each set of equivalent atoms:
Tm: 0.0000 0.0000 0.0000 [4 per cell]
Ni: 0.2500 0.2500 0.7500 [4 per cell]
Pd: 0.2500 0.2500 0.2500 [4 per cell]
Au: 0.0000 0.0000 0.5000 [4 per cell]

Summary:
energy relative to the elements: -0.555 eV per atom
N(E_F): 0.353 states/eV/atom



[16]
Ca3HoSb2As: optimized geometry, PBE.

Cell lengths 5.2697, 5.3611, 16.2831 Å; angles 90.00, 90.00, 90.00 degrees
Space group Immm (No. 71)
One atom of each set of equivalent atoms:
Ca: 0.0000 0.0000 0.0000 [2 per cell]
Ca: 0.0000 0.5000 0.3223 [4 per cell]
Ho: 0.0000 0.0000 0.5000 [2 per cell]
Sb: 0.0000 0.5000 0.1309 [4 per cell]
As: 0.0000 0.5000 0.5000 [2 per cell]

Summary:
formation energy from raw total energies: -961.7 meV/atom
N(E_F): 0.026 states/eV/atom



[17]
Y4Te3O4: optimized geometry, PBE.

Cell lengths 3.4838, 9.0325, 14.9378 Å; angles 90.00, 90.00, 90.00 degrees
Space group Immm (No. 71)
One atom of each set of equivalent atoms:
Y: 0.0000 0.0000 0.1890 [4 per cell]
Y: 0.0000 0.2353 0.5000 [4 per cell]
Te: 0.0000 0.0000 0.0000 [2 per cell]
Te: 0.0000 0.5000 0.1192 [4 per cell]
O: 0.0000 0.3448 0.3594 [8 per cell]

Summary:
formation energy from raw total energies: -1952.7 meV/atom
N(E_F): 0.453 states/eV/atom



[18]
PaCoH6: optimized geometry, PBE.

Cell lengths 4.2691, 4.2691, 10.6281 Å; angles 90.00, 90.00, 120.00 degrees
Space group R-3m (No. 166, hexagonal axes)
One atom of each set of equivalent atoms:
Pa: 0.0000 0.0000 0.0000 [3 per cell]
Co: 0.0000 0.0000 0.5000 [3 per cell]
H: 0.0311 0.5156 0.9091 [18 per cell]

Summary:
calculated total energy: -4.841 eV per atom
N(E_F): 0.559 states/eV/atom



[19]
HoLu2Br: optimized geometry, PBE.

Cell lengths 3.5902, 3.5902, 30.0948 Å; angles 90.00, 90.00, 120.00 degrees
Space group R-3m (No. 166, hexagonal axes)
One atom of each set of equivalent atoms:
Ho: 0.0000 0.0000 0.0000 [3 per cell]
Lu: 0.0000 0.0000 0.2435 [6 per cell]
Br: 0.0000 0.0000 0.5000 [3 per cell]

Summary:
formation energy from raw total energies: -473.3 meV/atom
N(E_F): 1.158 states/eV/atom



[20]
ErSi7Ir3: optimized geometry, PBE.

Cell lengths 7.6094, 7.6094, 20.1921 Å; angles 90.00, 90.00, 120.00 degrees
Space group R-3c (No. 167, hexagonal axes)
One atom of each set of equivalent atoms:
Er: 0.0000 0.0000 0.0000 [6 per cell]
Si: 0.0000 0.0000 0.2500 [6 per cell]
Si: 0.0121 0.2019 0.1376 [36 per cell]
Ir: 0.0000 0.3211 0.2500 [18 per cell]

Summary:
formation energy from raw total energies: -721.0 meV/atom
N(E_F): 0.014 states/eV/atom



[21]
HoErScTl: optimized geometry, PBE.

Cell lengths 7.5477, 7.5477, 7.5477 Å; angles 90.00, 90.00, 90.00 degrees
Space group F-43m (No. 216)
One atom of each set of equivalent atoms:
Ho: 0.0000 0.0000 0.0000 [4 per cell]
Er: 0.0000 0.0000 0.5000 [4 per cell]
Sc: 0.2500 0.2500 0.7500 [4 per cell]
Tl: 0.2500 0.2500 0.2500 [4 per cell]

Summary:
energy relative to the elements: -0.044 eV per atom
ΔE to the lowest computed polymorph: 125.6 meV/atom
N(E_F): 1.461 states/eV/atom



[22]
ZrRh: optimized geometry, PBE.

Cell lengths 7.2727, 7.2727, 7.2727 Å; angles 90.00, 90.00, 90.00 degrees
Space group Pm-3n (No. 223)
One atom of each set of equivalent atoms:
Zr: 0.0000 0.2500 0.5000 [6 per cell]
Rh: 0.0000 0.5000 0.2500 [6 per cell]

Summary:
energy relative to the elements: 0.528 eV per atom
N(E_F): 1.577 states/eV/atom



[23]
Ho2Zn3Sn3: optimized geometry, PBE.

Cell lengths 4.4608, 4.5005, 8.7753 Å; angles 90.00, 90.00, 90.00 degrees
Space group Pmmm (No. 47)
One atom of each set of equivalent atoms:
Ho: 0.0000 0.0000 0.2476 [2 per cell]
Zn: 0.0000 0.5000 0.0000 [1 per cell]
Zn: 0.5000 0.5000 0.2282 [2 per cell]
Sn: 0.0000 0.5000 0.5000 [1 per cell]
Sn: 0.5000 0.0000 0.0000 [1 per cell]
Sn: 0.5000 0.0000 0.5000 [1 per cell]

Summary:
energy relative to the elements: -0.398 eV per atom
N(E_F): 0.375 states/eV/atom



[24]
BaNa2CeI8: optimized geometry, PBE.

Cell lengths 7.4668, 9.8526, 7.7665 Å; angles 90.00, 92.58, 90.00 degrees
Space group P2/m (No. 10)
One atom of each set of equivalent atoms:
Ba: 0.0000 0.0000 0.0000 [1 per cell]
Na: 0.5000 0.2406 0.5000 [2 per cell]
Ce: 0.0000 0.5000 0.0000 [1 per cell]
I: 0.2333 0.2827 0.8431 [4 per cell]
I: 0.2510 0.5000 0.3198 [2 per cell]
I: 0.2643 0.0000 0.3601 [2 per cell]

Summary:
formation energy from raw total energies: -1294.9 meV/atom
N(E_F): 0.351 states/eV/atom



no.,magnetic moment (μB/atom)
1,0.27
2,0.00
3,0.07
4,0.00
5,0.88
6,0.35
7,3.83
8,0.00
9,0.10
10,0.00
11,0.00
12,0.00
13,0.00
14,0.00
15,0.00
16,0.00
17,0.00
18,0.04
19,0.01
20,0.00
21,0.34
22,0.00
23,0.00
24,0.01